(1)
Below is a geometry-optimized Mo2PtF structure, with properties calculated at the GGA+U level.

```
Mo2PtF
1.0
0.000 3.094 3.094
3.094 0.000 3.094
3.094 3.094 0.000
Mo Pt F
2 1 1
direct
0.250 0.250 0.250
0.750 0.750 0.750
0.000 0.000 0.000
0.500 0.500 0.500
```

- Final energy: -4.9230 eV/atom
- DOS(E_F): 1.0176 states/eV/atom
- Energy relative to the lowest polymorph listed for this composition: 0 meV/atom
- SG: No. 225

(2)
Below is a geometry-optimized Rb2MoPtF6 structure, with properties calculated at the GGA+U level.

```
Rb2MoPtF6
1.0
-3.387 3.387 4.197
3.387 -3.387 4.197
3.387 3.387 -4.197
Rb Mo Pt F
2 1 1 6
direct
0.250 0.750 0.500
0.750 0.250 0.500
0.000 0.000 0.000
0.500 0.500 0.000
0.218 0.218 0.436
0.218 0.782 0.000
0.253 0.253 0.000
0.747 0.747 0.000
0.782 0.218 0.000
0.782 0.782 0.564
```

- Final energy: -4.6878 eV/atom
- DOS(E_F): 0.2412 states/eV/atom
- SG: No. 139

(3)
Below is a geometry-optimized Tc2MoPtF structure, with properties calculated at the GGA+U level.

```
Tc2MoPtF
1.0
4.221 0.000 0.000
0.000 4.221 0.000
0.000 0.000 4.214
Tc Mo Pt F
2 1 1 1
direct
0.000 0.500 0.000
0.500 0.000 0.000
0.000 0.000 0.500
0.500 0.500 0.500
0.000 0.000 0.000
```

- Final energy: -6.4148 eV/atom
- DOS(E_F): 0.9671 states/eV/atom
- SG: No. 123